## i
Cd2AsBr, relaxed, DFT PBEsol; crystal system = orthorhombic
1.0
3.1180 0.0000 0.0000
0.0000 5.5704 0.0000
-1.5590 -2.7852 5.1467
As Cd Br
1 2 1
Direct
0.5227 0.5227 0.0454
0.2500 0.7500 0.4999
0.9934 0.9934 0.9867
0.7340 0.2340 0.4680

## ii
Cd2AsBr, relaxed, DFT PBEsol; crystal system = cubic
1.0
4.9928 0.0000 0.0000
2.4964 4.3239 0.0000
2.4964 1.4413 4.0766
Cd Br As
2 1 1
Direct
0.7500 0.7500 0.7500
0.0000 0.0000 0.0000
0.2500 0.2500 0.2500
0.5000 0.5000 0.5000

## iii
Cd2AsBr, relaxed, DFT PBEsol; crystal system = tetragonal
1.0
-2.1042 -3.5854 4.5178
-0.4105 -4.7038 -3.9242
7.2894 2.4177 1.1422
Br As Cd
2 2 4
Direct
0.0000 0.0000 0.0000
0.2500 0.7500 0.5000
0.5000 0.5000 0.0000
0.7500 0.2500 0.5000
0.8261 0.3750 0.2500
0.6250 0.5761 0.7500
0.4239 0.8750 0.2500
0.1250 0.1739 0.7500

The least stable of them is ii.

## i
Co2AsBr, relaxed, DFT PBEsol; crystal system = orthorhombic
1.0
2.9409 0.0000 0.0000
0.0000 3.7520 0.0000
0.0000 0.0000 5.5765
Co As Br
2 1 1
Direct
0.0000 0.0000 0.0000
0.5000 0.0000 0.5000
0.5000 0.5000 0.0000
0.0000 0.5000 0.5000

## ii
Co2AsBr, relaxed, DFT PBEsol; crystal system = monoclinic
1.0
3.6063 0.0000 0.0670
0.0000 3.6079 0.0000
-0.1082 0.0000 5.3901
As Co Br
1 2 1
Direct
0.6257 0.0000 0.3874
0.1251 0.0000 0.1295
0.6250 0.5000 0.1296
0.1243 0.5000 0.8535

The least stable of them is i.

## i
CoAsBr2F, relaxed, DFT PBEsol; crystal system = tetragonal
1.0
-0.6298 0.6036 -3.6887
0.8620 -5.1551 -0.9907
-5.1745 -1.0035 0.7193
Co F Br As
1 1 2 1
Direct
0.5000 0.5000 0.5000
0.0000 0.0000 0.0000
0.0000 0.0000 0.5000
0.0000 0.5000 0.0000
0.5000 0.0000 0.0000

## ii
CoAsBr2F, relaxed, DFT PBEsol; crystal system = tetragonal
1.0
-3.3951 0.5616 2.7448
2.2614 -2.5256 3.3139
1.9977 3.9661 1.6594
Co Br As F
1 2 1 1
Direct
0.0000 0.0000 0.0000
0.0000 0.0000 0.5000
0.0000 0.5000 0.0000
0.5000 0.0000 0.0000
0.5000 0.5000 0.5000

The least stable of them is i.